Record 1
Here is Ca3Pm2Sn3 after structural relaxation from Alexandria via LeMat-Bulk. Energies are from PBE-GGA.

Properties
ΔE_f, meV/atom: -496
Space-group type: Immm, No. 71

a = 4.572 Å, b = 4.991 Å, c = 10.954 Å
α = 103.17°, β = 102.04°, γ = 90.00°
Fractional coordinates of all 8 atoms:
Ca1 0.615 0.615 0.229
Ca2 0.385 0.385 0.771
Ca3 0.500 0.000 0.000
Pm1 0.737 0.237 0.474
Pm2 0.263 0.763 0.526
Sn1 0.128 0.128 0.257
Sn2 0.000 0.500 0.000
Sn3 0.872 0.872 0.743

***

Record 2
Here is ScCu9Hg2 after structural relaxation from Alexandria via LeMat-Bulk. Energies are from PBE-GGA.

Properties
ΔE_f, meV/atom: -19
Space-group type: R-3m, No. 166

a = 5.026 Å, b = 5.026 Å, c = 8.540 Å
α = 72.89°, β = 72.89°, γ = 60.00°
Fractional coordinates of all 12 atoms:
Sc1 0.000 0.000 0.000
Cu1 0.667 0.667 0.000
Cu2 0.333 0.333 0.000
Cu3 0.500 0.500 0.500
Cu4 0.416 0.416 0.248
Cu5 0.919 0.416 0.248
Cu6 0.416 0.919 0.248
Cu7 0.584 0.584 0.752
Cu8 0.584 0.081 0.752
Cu9 0.081 0.584 0.752
Hg1 0.862 0.862 0.415
Hg2 0.138 0.138 0.585

***

Record 3
Here is CaCrBi2Br after structural relaxation from Alexandria via LeMat-Bulk. Energies are from PBE-GGA.

Properties
Space-group type: P4/mmm, No. 123
E_form (uncorrected), eV per atom: 1.010

a = 5.973 Å, b = 5.247 Å, c = 5.973 Å
α = 90.00°, β = 90.00°, γ = 90.00°
Fractional coordinates of all 5 atoms:
Cr1 0.500 0.500 0.500
Ca1 0.000 0.000 0.000
Bi1 0.000 0.000 0.500
Bi2 0.500 0.000 0.000
Br1 0.000 0.500 0.000

***

Record 4
Here is TlZn2Pd9 after structural relaxation from Alexandria via LeMat-Bulk. Energies are from PBE-GGA.

Properties
ΔE_f, meV/atom: -251
Space-group type: P4/mmm, No. 123

a = 3.988 Å, b = 3.988 Å, c = 11.822 Å
α = 90.00°, β = 90.00°, γ = 90.00°
Fractional coordinates of all 12 atoms:
Tl1 0.000 0.000 0.000
Zn1 0.000 0.000 0.339
Zn2 0.000 0.000 0.661
Pd1 0.500 0.500 0.000
Pd2 0.500 0.500 0.340
Pd3 0.500 0.500 0.660
Pd4 0.500 0.000 0.180
Pd5 0.500 0.000 0.500
Pd6 0.500 0.000 0.820
Pd7 0.000 0.500 0.180
Pd8 0.000 0.500 0.500
Pd9 0.000 0.500 0.820

***

Record 5
Here is Sc9Tl2In after structural relaxation from Alexandria via LeMat-Bulk. Energies are from PBE-GGA.

Properties
ΔE_f, meV/atom: -233
Space-group type: P4/mmm, No. 123

a = 4.525 Å, b = 4.525 Å, c = 13.572 Å
α = 90.00°, β = 90.00°, γ = 90.00°
Fractional coordinates of all 12 atoms:
Sc1 0.500 0.500 0.000
Sc2 0.500 0.500 0.333
Sc3 0.500 0.500 0.667
Sc4 0.500 0.000 0.166
Sc5 0.500 0.000 0.500
Sc6 0.500 0.000 0.834
Sc7 0.000 0.500 0.166
Sc8 0.000 0.500 0.500
Sc9 0.000 0.500 0.834
Tl1 0.000 0.000 0.333
Tl2 0.000 0.000 0.667
In1 0.000 0.000 0.000

***

Record 6
Here is Y3Ni8Au after structural relaxation from Alexandria via LeMat-Bulk. Energies are from PBE-GGA.

Properties
ΔE_f, meV/atom: -421
Space-group type: R3m, No. 160

a = 5.015 Å, b = 5.015 Å, c = 8.718 Å
α = 73.29°, β = 73.29°, γ = 60.00°
Fractional coordinates of all 12 atoms:
Y1 0.377 0.377 0.869
Y2 0.991 0.991 0.027
Y3 0.507 0.507 0.479
Ni1 0.942 0.436 0.185
Ni2 0.439 0.937 0.687
Ni3 0.436 0.436 0.185
Ni4 0.937 0.937 0.687
Ni5 0.188 0.188 0.437
Ni6 0.688 0.688 0.936
Ni7 0.436 0.942 0.185
Ni8 0.937 0.439 0.687
Au1 0.871 0.871 0.387

***

Record 7
Here is AcPtS6 after structural relaxation from Alexandria via LeMat-Bulk. Energies are from PBE-GGA.

Properties
Space-group type: P-1, No. 2
E_form (uncorrected), eV per atom: -0.567

a = 6.995 Å, b = 5.737 Å, c = 7.670 Å
α = 90.72°, β = 138.65°, γ = 99.33°
Fractional coordinates of all 8 atoms:
Ac1 0.500 0.500 0.500
Pt1 0.000 0.000 0.000
S1 0.450 0.928 0.209
S2 0.215 0.769 0.590
S3 0.929 0.663 0.127
S4 0.785 0.231 0.410
S5 0.550 0.072 0.791
S6 0.071 0.337 0.873

***

Record 8
Here is CuMoH3 after structural relaxation from Alexandria via LeMat-Bulk. Energies are from PBE-GGA.

Properties
Energy relative to the lowest polymorph listed for this composition, meV/atom: 50
Space-group type: Pm-3m, No. 221

a = 3.303 Å, b = 3.303 Å, c = 3.303 Å
α = 90.00°, β = 90.00°, γ = 90.00°
Fractional coordinates of all 5 atoms:
H1 0.000 0.500 0.000
H2 0.000 0.000 0.500
H3 0.500 0.000 0.000
Mo1 0.500 0.500 0.500
Cu1 0.000 0.000 0.000

***

Record 9
Here is Mg2SiMo after structural relaxation from Alexandria via LeMat-Bulk. Energies are from PBE-GGA.

Properties
Space-group type: Immm, No. 71
E_form (uncorrected), eV per atom: 0.115

a = 5.454 Å, b = 5.454 Å, c = 5.454 Å
α = 145.04°, β = 134.76°, γ = 58.42°
Fractional coordinates of all 4 atoms:
Mg1 0.008 0.008 0.000
Mg2 0.492 0.492 0.000
Mo1 0.750 0.250 0.500
Si1 0.250 0.750 0.500

***

Record 10
Here is MgCoP2S after structural relaxation from Alexandria via LeMat-Bulk. Energies are from PBE-GGA.

Properties
Energy relative to the lowest polymorph listed for this composition, meV/atom: 0
Space-group type: P4/mmm, No. 123
E_form (uncorrected), eV per atom: 0.154

a = 4.185 Å, b = 4.185 Å, c = 5.248 Å
α = 90.00°, β = 90.00°, γ = 90.00°
Fractional coordinates of all 5 atoms:
P1 0.000 0.500 0.000
P2 0.500 0.000 0.000
S1 0.000 0.000 0.500
Co1 0.000 0.000 0.000
Mg1 0.500 0.500 0.500

***

Record 11
Here is La2Cu3Sn4Pt after structural relaxation from Alexandria via LeMat-Bulk. Energies are from PBE-GGA.

Properties
ΔE_f, meV/atom: -564
Space-group type: P-4m2, No. 115

a = 4.568 Å, b = 4.568 Å, c = 10.687 Å
α = 90.00°, β = 90.00°, γ = 90.00°
Fractional coordinates of all 10 atoms:
La1 0.500 0.000 0.261
La2 0.000 0.500 0.739
Cu1 0.000 0.000 0.500
Cu2 0.500 0.000 0.869
Cu3 0.000 0.500 0.131
Sn1 0.500 0.500 0.000
Sn2 0.000 0.000 0.000
Sn3 0.500 0.000 0.630
Sn4 0.000 0.500 0.370
Pt1 0.500 0.500 0.500

***

Record 12
Here is TbZrBe2 after structural relaxation from Alexandria via LeMat-Bulk. Energies are from PBE-GGA.

Properties
ΔE_f, meV/atom: 12
Space-group type: P4/mmm, No. 123

a = 3.301 Å, b = 3.301 Å, c = 6.513 Å
α = 90.00°, β = 90.00°, γ = 90.00°
Fractional coordinates of all 4 atoms:
Be1 0.000 0.000 0.787
Be2 0.000 0.000 0.213
Tb1 0.500 0.500 0.500
Zr1 0.500 0.500 0.000

***

Record 13
Here is NaSmEuCd after structural relaxation from Alexandria via LeMat-Bulk. Energies are from PBE-GGA.

Properties
ΔE_f, meV/atom: -14
Space-group type: F-43m, No. 216

a = 5.608 Å, b = 5.608 Å, c = 5.608 Å
α = 60.00°, β = 60.00°, γ = 60.00°
Fractional coordinates of all 4 atoms:
Eu1 0.500 0.500 0.500
Na1 0.250 0.250 0.250
Sm1 0.000 0.000 0.000
Cd1 0.750 0.750 0.750